Compound: PaNiSn
Source: the Alexandria database
Functional: PBE-GGA
Structure: relaxed

a = 4.019 Å, b = 4.301 Å, c = 4.301 Å
α = 120.00°, β = 90.00°, γ = 90.00°
Fractional positions:
Ni: 0.398 0.333 0.667
Pa: 0.045 0.000 0.000
Sn: 0.557 0.667 0.333

Calculated total energy (eV per atom): -6.7521